A relaxed Pm8Er6Th crystal, computed with PBE.

Lattice parameters (Å, degrees): 9.0682 9.0682 20.9033 90.00 90.00 120.00
Closest atoms and distances in Å follow each position.
Space group R-3 (No. 148, hexagonal axes)
Symmetry-distinct sites (fractional):
Pm 0.0000 0.0000 0.0780 (multiplicity 6)  4 Pm 3.26-3.42, 3 Er 3.37
Pm 0.0812 0.5207 0.3044 (multiplicity 18)  3 Er 3.41-3.78, 5 Pm 3.42-3.48, 1 Th 3.50
Er 0.0456 0.8023 0.2067 (multiplicity 18)  3 Pm 3.37-3.47, 1 Th 3.50, 3 Er 3.52-3.77
Th 0.0000 0.0000 0.5000 (multiplicity 3)  6 Er 3.50, 6 Pm 3.50

Results
Total DFT energy (no corrections) = -212.8 eV/cell
Crystal system = trigonal
Volume = 496.21 Å³/f.u.
Energy of formation from the pure elements = 0.125 eV/atom